1.
{"formula": "B", "functional": "PBE", "state": "relaxed", "lattice": [[-1.154, 1.154, 1.154], [1.154, -1.154, 1.154], [1.154, 1.154, -1.154]], "species": ["B"], "frac_coords": [[0.000, 0.000, 0.000]], "e_form_ev_per_atom": 1.722, "magmom_total_mub_per_fu": 0.00, "n_ef_per_ev_cell": 0.8, "final_energy_ev_per_atom": -4.955}


2.
{"formula": "CaCu2", "functional": "PBE", "state": "relaxed", "lattice": [[1.603, -8.880, 0.000], [1.603, 8.880, 0.000], [0.000, 0.000, 4.122]], "species": ["Ca", "Ca", "Cu", "Cu", "Cu", "Cu"], "frac_coords": [[0.114, 0.886, 0.750], [0.886, 0.114, 0.250], [0.242, 0.758, 0.250], [0.467, 0.533, 0.750], [0.533, 0.467, 0.250], [0.758, 0.242, 0.750]], "e_form_ev_per_atom": 0.088, "magmom_total_mub_per_fu": 0.00, "n_ef_per_ev_cell": 1.4, "final_energy_ev_per_atom": -3.310}


3.
{"formula": "AgGe3Se", "functional": "PBE", "state": "relaxed", "lattice": [[5.005, 0.000, 0.000], [0.000, 5.005, 0.000], [0.000, 0.000, 5.005]], "species": ["Ag", "Ge", "Ge", "Ge", "Se"], "frac_coords": [[0.000, 0.000, 0.000], [0.000, 0.000, 0.500], [0.000, 0.500, 0.000], [0.500, 0.000, 0.000], [0.500, 0.500, 0.500]], "magmom_total_mub_per_fu": 0.00, "n_ef_per_ev_cell": 1.7, "final_energy_ev_per_atom": -3.381, "raw_formation_energy_ev_per_atom": 0.657}


4.
{"formula": "LuMgInPb", "functional": "PBE", "state": "relaxed", "lattice": [[0.000, 3.731, 3.731], [3.731, 0.000, 3.731], [3.731, 3.731, 0.000]], "species": ["Lu", "Mg", "In", "Pb"], "frac_coords": [[0.000, 0.000, 0.000], [0.500, 0.500, 0.500], [0.250, 0.250, 0.250], [0.750, 0.750, 0.750]], "e_form_ev_per_atom": -0.160, "magmom_total_mub_per_fu": 0.01, "n_ef_per_ev_cell": 3.4, "final_energy_ev_per_atom": -3.300}


5.
{"formula": "InRuBr4", "functional": "PBE", "state": "relaxed", "lattice": [[0.000, 4.477, 4.477], [4.477, 0.000, 4.477], [4.477, 4.477, 0.000]], "species": ["In", "Ru", "Br", "Br", "Br", "Br"], "frac_coords": [[0.000, 0.000, 0.000], [0.750, 0.750, 0.750], [0.376, 0.376, 0.376], [0.376, 0.376, 0.873], [0.376, 0.873, 0.376], [0.873, 0.376, 0.376]], "magmom_total_mub_per_fu": 1.97, "n_ef_per_ev_cell": 11.8, "final_energy_ev_per_atom": -2.169, "raw_formation_energy_ev_per_atom": 0.948}


6.
{"formula": "NaCuH3", "functional": "PBE", "state": "relaxed", "lattice": [[1.813, -5.724, 0.000], [1.813, 5.724, 0.000], [0.000, 0.000, 5.154]], "species": ["Na", "Na", "Cu", "Cu", "H", "H", "H", "H", "H", "H"], "frac_coords": [[0.135, 0.865, 0.750], [0.865, 0.135, 0.250], [0.411, 0.589, 0.750], [0.589, 0.411, 0.250], [0.004, 0.635, 0.250], [0.365, 0.996, 0.250], [0.500, 0.500, 0.000], [0.500, 0.500, 0.500], [0.635, 0.004, 0.750], [0.996, 0.365, 0.750]], "magmom_total_mub_per_fu": 0.00, "n_ef_per_ev_cell": 0.7, "final_energy_ev_per_atom": -2.981}


7.
{"formula": "PmAl2Ga4", "functional": "PBE", "state": "relaxed", "lattice": [[3.987, 0.000, 0.000], [0.000, 3.987, 0.000], [0.000, 0.000, 9.728]], "species": ["Pm", "Al", "Al", "Ga", "Ga", "Ga", "Ga"], "frac_coords": [[0.000, 0.000, 0.000], [0.000, 0.500, 0.500], [0.500, 0.000, 0.500], [0.255, 0.255, 0.265], [0.255, 0.745, 0.735], [0.745, 0.255, 0.735], [0.745, 0.745, 0.265]], "e_form_ev_per_atom": 0.002, "magmom_total_mub_per_fu": 0.00, "n_ef_per_ev_cell": 3.0, "final_energy_ev_per_atom": -3.476}


8.
{"formula": "RbMnVSe4", "functional": "PBE", "state": "relaxed", "lattice": [[6.399, 0.000, 0.000], [0.000, 6.923, 0.000], [-0.563, 0.000, 8.647]], "species": ["Rb", "Rb", "Mn", "Mn", "V", "V", "Se", "Se", "Se", "Se", "Se", "Se", "Se", "Se"], "frac_coords": [[0.212, 0.250, 0.050], [0.788, 0.750, 0.950], [0.367, 0.250, 0.641], [0.633, 0.750, 0.359], [0.169, 0.750, 0.465], [0.831, 0.250, 0.535], [0.092, 0.006, 0.671], [0.092, 0.494, 0.671], [0.317, 0.750, 0.197], [0.495, 0.250, 0.393], [0.505, 0.750, 0.607], [0.683, 0.250, 0.803], [0.908, 0.506, 0.329], [0.908, 0.994, 0.329]], "magmom_total_mub_per_fu": 5.00, "n_ef_per_ev_cell": 4.3, "final_energy_ev_per_atom": -5.377, "raw_formation_energy_ev_per_atom": -0.635}


9.
{"formula": "K2NdAsS4", "functional": "PBE", "state": "relaxed", "lattice": [[-4.102, 4.241, 5.897], [4.102, -4.241, 5.897], [4.102, 4.241, -5.897]], "species": ["K", "K", "K", "K", "Nd", "Nd", "As", "As", "S", "S", "S", "S", "S", "S", "S", "S"], "frac_coords": [[0.000, 0.000, 0.000], [0.500, 0.000, 0.000], [0.500, 0.000, 0.500], [0.500, 0.500, 0.500], [0.000, 0.500, 0.500], [0.500, 0.500, 0.000], [0.000, 0.000, 0.500], [0.000, 0.500, 0.000], [0.198, 0.741, 0.457], [0.217, 0.259, 0.957], [0.227, 0.247, 0.520], [0.227, 0.707, 0.980], [0.773, 0.293, 0.020], [0.773, 0.753, 0.480], [0.783, 0.741, 0.043], [0.802, 0.259, 0.543]], "magmom_total_mub_per_fu": 0.00, "n_ef_per_ev_cell": 0.0, "final_energy_ev_per_atom": -4.644, "raw_formation_energy_ev_per_atom": -1.129}


10.
{"formula": "Fe5W3", "functional": "PBE", "state": "relaxed", "lattice": [[3.368, -3.829, 0.000], [3.368, 3.829, 0.000], [0.000, 0.000, 3.930]], "species": ["Fe", "Fe", "Fe", "Fe", "Fe", "W", "W", "W"], "frac_coords": [[0.000, 0.000, 0.000], [0.000, 0.500, 0.000], [0.278, 0.278, 0.500], [0.500, 0.000, 0.000], [0.722, 0.722, 0.500], [0.212, 0.788, 0.500], [0.500, 0.500, 0.000], [0.788, 0.212, 0.500]], "e_form_ev_per_atom": 0.133, "magmom_total_mub_per_fu": 1.58, "n_ef_per_ev_cell": 5.9, "final_energy_ev_per_atom": -10.013}


11.
{"formula": "GdMgGaRu", "functional": "PBE", "state": "relaxed", "lattice": [[0.000, 3.375, 3.375], [3.375, 0.000, 3.375], [3.375, 3.375, 0.000]], "species": ["Gd", "Mg", "Ga", "Ru"], "frac_coords": [[0.000, 0.000, 0.000], [0.500, 0.500, 0.500], [0.750, 0.750, 0.750], [0.250, 0.250, 0.250]], "e_form_ev_per_atom": -0.196, "magmom_total_mub_per_fu": 7.02, "n_ef_per_ev_cell": 2.8, "final_energy_ev_per_atom": -7.190}


12.
{"formula": "ZrOsPb", "functional": "PBE", "state": "relaxed", "lattice": [[3.329, 0.000, 0.000], [-1.665, 2.883, 0.000], [0.000, 0.000, 6.959]], "species": ["Zr", "Os", "Pb"], "frac_coords": [[0.000, 0.000, 0.000], [0.333, 0.667, 0.256], [0.667, 0.333, 0.603]], "e_form_ev_per_atom": 0.302, "magmom_total_mub_per_fu": 0.00, "n_ef_per_ev_cell": 1.6, "final_energy_ev_per_atom": -7.526}